[1]
Compound: CdHgSO
Source: OQMD
Functional: PBE
Structure: optimized geometry

a = 3.8771 Å, b = 3.8771 Å, c = 12.0717 Å
α = 90.00°, β = 90.00°, γ = 120.00°
Last column: nearest neighbours and their distance in Å.
Sites, in units of the cell vectors:
Cd 0.0000 0.0000 0.0000  1 O 2.17
Cd 0.0000 0.0000 0.5000  1 O 2.17
Hg 0.3333 0.6667 0.2610  3 O 2.35
Hg 0.6667 0.3333 0.7610  3 O 2.35
S 0.3333 0.6667 0.6018  3 Cd 2.55
S 0.6667 0.3333 0.1018  3 Cd 2.55
O 0.0000 0.0000 0.3202  1 Cd 2.17, 3 Hg 2.35
O 0.0000 0.0000 0.8202  1 Cd 2.17, 3 Hg 2.35

Properties
Symmetry: P6_3mc
ΔE to the lowest computed polymorph: 0.143 eV per atom
Crystal system: hexagonal


[2]
Compound: Dy4CI3Cl2
Source: OQMD
Functional: PBE
Structure: optimized geometry

a = 9.2827 Å, b = 9.2827 Å, c = 8.5451 Å
α = 102.18°, β = 102.18°, γ = 24.19°
Last column: nearest neighbours and their distance in Å.
Sites, in units of the cell vectors:
Dy 0.0008 0.0008 0.3092  2 C 2.54, 1 Cl 2.84
Dy 0.3659 0.3659 0.4424  1 C 2.38
Dy 0.6341 0.6341 0.5576  1 C 2.38
Dy 0.9992 0.9992 0.6908  2 C 2.54, 1 Cl 2.84
C 0.5000 0.5000 0.5000  6 Dy 2.38-2.54
I 0.1717 0.1717 0.8352  3 Dy 3.03-3.11
I 0.5000 0.5000 0.0000  4 Dy 3.28
I 0.8283 0.8283 0.1648  3 Dy 3.03-3.11
Cl 0.1599 0.1599 0.3485  3 Dy 2.75-2.84
Cl 0.8401 0.8401 0.6515  3 Dy 2.75-2.84

Properties
Symmetry: C2/m
ΔE to the lowest computed polymorph: 0.018 eV per atom
Crystal system: monoclinic


[3]
Compound: LaAl2Ir2
Source: OQMD
Functional: PBE
Structure: optimized geometry

a = 4.3146 Å, b = 4.3146 Å, c = 10.2956 Å
α = 90.00°, β = 90.00°, γ = 90.00°
Last column: nearest neighbours and their distance in Å.
Sites, in units of the cell vectors:
La 0.2500 0.2500 0.2395  8 Ir 3.28-3.32, 8 Al 3.29-3.44
La 0.7500 0.7500 0.7605  8 Ir 3.28-3.32, 8 Al 3.29-3.44
Al 0.2500 0.2500 0.8800  5 Ir 2.49-2.55
Al 0.2500 0.7500 0.5000  4 Ir 2.55
Al 0.7500 0.2500 0.5000  4 Ir 2.55
Al 0.7500 0.7500 0.1200  5 Ir 2.49-2.55
Ir 0.2500 0.2500 0.6326  5 Al 2.55
Ir 0.2500 0.7500 0.0000  4 Al 2.49
Ir 0.7500 0.2500 0.0000  4 Al 2.49
Ir 0.7500 0.7500 0.3674  5 Al 2.55

Properties
Symmetry: P4/nmm
ΔE to the lowest computed polymorph: 0.000 eV per atom
Crystal system: tetragonal


[4]
Compound: Ho3Mg3Ir2Pd
Source: OQMD
Functional: PBE
Structure: optimized geometry

a = 7.3319 Å, b = 7.3319 Å, c = 3.9969 Å
α = 90.00°, β = 90.00°, γ = 120.00°
Last column: nearest neighbours and their distance in Å.
Sites, in units of the cell vectors:
Ho 0.0000 0.4160 0.0000  4 Ir 2.98, 1 Pd 3.05, 6 Mg 3.17-3.33
Ho 0.4160 0.0000 0.0000  4 Ir 2.98, 1 Pd 3.05, 6 Mg 3.17-3.33
Ho 0.5840 0.5840 0.0000  4 Ir 2.98, 1 Pd 3.05, 6 Mg 3.17-3.33
Mg 0.0000 0.7508 0.5000  2 Pd 2.71, 2 Ir 2.80
Mg 0.2492 0.2492 0.5000  2 Pd 2.71, 2 Ir 2.80
Mg 0.7508 0.0000 0.5000  2 Pd 2.71, 2 Ir 2.80
Ir 0.3333 0.6667 0.5000  3 Mg 2.80, 6 Ho 2.98
Ir 0.6667 0.3333 0.5000  3 Mg 2.80, 6 Ho 2.98
Pd 0.0000 0.0000 0.0000  6 Mg 2.71

Properties
Symmetry: P-62m
Total DFT energy (no corrections): -5.293 eV per atom
Crystal system: hexagonal